1.
! YIrRu2 | the Alexandria database | meta-GGA SCAN | single point on PBEsol structure; values from VASP
! - Total energy: -41.995 eV per atom
! - Space-group type: P4/mmm, No. 123
! - E_form: 0.15 eV/atom
! - Magnetic moment: 1.408 μB/f.u.
! - Calculated volume: 66 Å³ per cell
&SYSTEM
  ibrav = 0, nat = 4, ntyp = 3
/
ATOMIC_SPECIES
Ir 192.22 Ir.upf
Ru 101.07 Ru.upf
Y 88.91 Y.upf
CELL_PARAMETERS angstrom
3.220 0.000 0.000
0.000 3.220 0.000
0.000 0.000 6.402
ATOMIC_POSITIONS angstrom
Ir 1.610 1.610 3.201
Ru 0.000 0.000 4.523
Ru 0.000 0.000 1.879
Y 1.610 1.610 0.000

=====

2.
! NaZnBi | the Alexandria database | meta-GGA SCAN | single point on PBEsol structure; values from VASP
! - Total energy: -32.347 eV per atom
! - Space-group type: P4/nmm, No. 129
! - E_form: -0.24 eV/atom
! - Magnetic moment: 0.000 μB/f.u.
! - Calculated volume: 153 Å³ per cell
&SYSTEM
  ibrav = 0, nat = 6, ntyp = 3
/
ATOMIC_SPECIES
Na 22.99 Na.upf
Zn 65.41 Zn.upf
Bi 208.98 Bi.upf
CELL_PARAMETERS angstrom
4.520 0.000 0.000
0.000 4.520 0.000
0.000 0.000 7.482
ATOMIC_POSITIONS angstrom
Na 0.000 2.260 2.474
Na 2.260 0.000 5.009
Zn 2.260 2.260 0.000
Zn 0.000 0.000 0.000
Bi 2.260 0.000 1.724
Bi 0.000 2.260 5.758

=====

3.
! TaTlP2S | the Alexandria database | meta-GGA SCAN | single point on PBEsol structure; values from VASP
! - Energy relative to the elements, uncorrected: 1830 meV/atom
! - Total energy: -32.043 eV per atom
! - Space-group type: P4/mmm, No. 123
! - Magnetic moment: 1.165 μB/f.u.
! - Calculated volume: 114 Å³ per cell
&SYSTEM
  ibrav = 0, nat = 5, ntyp = 4
/
ATOMIC_SPECIES
P 30.97 P.upf
Tl 204.38 Tl.upf
S 32.06 S.upf
Ta 180.95 Ta.upf
CELL_PARAMETERS angstrom
-1.810 2.491 3.737
-2.686 -3.829 1.251
3.609 -1.610 2.822
ATOMIC_POSITIONS angstrom
P -1.343 -1.915 0.626
P -0.905 1.246 1.868
Tl 0.000 0.000 0.000
S 1.805 -0.805 1.411
Ta -0.444 -1.474 3.905

=====

4.
! CrSiPt4 | the Alexandria database | meta-GGA SCAN | single point on PBEsol structure; values from VASP
! - Energy relative to the elements, uncorrected: 89 meV/atom
! - Total energy: -51.440 eV per atom
! - Space-group type: F-43m, No. 216
! - Magnetic moment: 4.428 μB/f.u.
! - Calculated volume: 98 Å³ per cell
&SYSTEM
  ibrav = 0, nat = 6, ntyp = 3
/
ATOMIC_SPECIES
Cr 52.00 Cr.upf
Pt 195.08 Pt.upf
Si 28.09 Si.upf
CELL_PARAMETERS angstrom
-2.256 4.420 -1.495
-5.143 0.208 -0.607
-2.898 2.692 3.349
ATOMIC_POSITIONS angstrom
Cr 0.000 0.000 0.000
Pt -3.861 2.745 0.468
Pt -5.311 4.092 2.143
Pt -4.990 4.957 -0.281
Pt -6.434 2.849 0.164
Si -7.723 5.491 0.935

=====

Q: Which of these has the lowest total energy?
A: CrSiPt4

=====

Q: Which formula does entry 1 have?
A: YIrRu2

=====

Q: What is the formula in the second record?
A: NaZnBi

=====

Repeat the third record exactly.
! TaTlP2S | the Alexandria database | meta-GGA SCAN | single point on PBEsol structure; values from VASP
! - Energy relative to the elements, uncorrected: 1830 meV/atom
! - Total energy: -32.043 eV per atom
! - Space-group type: P4/mmm, No. 123
! - Magnetic moment: 1.165 μB/f.u.
! - Calculated volume: 114 Å³ per cell
&SYSTEM
  ibrav = 0, nat = 5, ntyp = 4
/
ATOMIC_SPECIES
P 30.97 P.upf
Tl 204.38 Tl.upf
S 32.06 S.upf
Ta 180.95 Ta.upf
CELL_PARAMETERS angstrom
-1.810 2.491 3.737
-2.686 -3.829 1.251
3.609 -1.610 2.822
ATOMIC_POSITIONS angstrom
P -1.343 -1.915 0.626
P -0.905 1.246 1.868
Tl 0.000 0.000 0.000
S 1.805 -0.805 1.411
Ta -0.444 -1.474 3.905